[1]
Crystalline ThPaGe2 at its relaxed geometry, computed with GGA-PBE.

Structure (CIF):
```
data_ThPaGe2
_symmetry_space_group_name_H-M 'R -3 m'
_symmetry_Int_Tables_number 166
_symmetry_space_group_name_Hall '-R 3 2"'
_cell_length_a 3.2198
_cell_length_b 3.2198
_cell_length_c 33.6512
_cell_angle_alpha 90.00
_cell_angle_beta 90.00
_cell_angle_gamma 120.00
loop_
_atom_site_label
_atom_site_fract_x
_atom_site_fract_y
_atom_site_fract_z
Th1 0.0000 0.0000 0.0000
Pa1 0.0000 0.0000 0.5000
Ge1 0.0000 0.0000 0.4122
```

Results
Formation energy from the elements   15.3 kJ per mole of atoms
Magnetization   0.3 μB per formula unit
N(E_F)   1.4544 states/eV/atom
Calculated total energy   -6.379 eV per atom
Polymorph energy (0 for the lowest one)   764 meV per atom



[2]
Crystalline K2TaNi at its relaxed geometry, computed with GGA-PBE.

Structure (CIF):
```
data_K2TaNi
_symmetry_space_group_name_H-M 'C m m m'
_symmetry_Int_Tables_number 65
_symmetry_space_group_name_Hall '-C 2 2'
_cell_length_a 5.551
_cell_length_b 11.900
_cell_length_c 2.859
_cell_angle_alpha 90.00
_cell_angle_beta 90.00
_cell_angle_gamma 90.00
loop_
_atom_site_label
_atom_site_fract_x
_atom_site_fract_y
_atom_site_fract_z
K1 0.250 0.250 0.000
Ta1 0.000 0.000 0.500
Ni1 0.000 0.500 0.500
```

Results
Formation energy from the elements   127.5 kJ per mole of atoms
Magnetization   0.3 μB per formula unit
N(E_F)   0.8605 states/eV/atom
Calculated total energy   -3.635 eV per atom
Polymorph energy (0 for the lowest one)   741 meV per atom